Entry 1:
Computed, not measured: Ta2Ge2O7 after structural relaxation at the GGA-PBEsol level of DFT.

Cell lengths 3.904, 5.646, 13.235 Å; angles 90.00, 98.48, 90.00 degrees
Fractional positions:
Ta (0.838, 0.735, 0.676)
Ta (0.945, 0.263, 0.891)
Ta (0.162, 0.235, 0.324)
Ta (0.055, 0.763, 0.109)
Ge (0.713, 0.686, 0.427)
Ge (0.567, 0.323, 0.133)
Ge (0.287, 0.186, 0.573)
Ge (0.433, 0.823, 0.867)
O (0.906, 0.932, 0.813)
O (0.994, 0.503, 0.988)
O (0.797, 0.014, 0.594)
O (0.887, 0.452, 0.773)
O (0.778, 0.541, 0.556)
O (0.649, 0.265, 0.298)
O (0.557, 0.683, 0.114)
O (0.222, 0.041, 0.444)
O (0.443, 0.183, 0.886)
O (0.351, 0.765, 0.702)
O (0.094, 0.432, 0.187)
O (0.113, 0.952, 0.227)
O (0.006, 0.003, 0.012)
O (0.203, 0.514, 0.406)

Properties
SG   No. 36
E_form (uncorrected)   -2.1595 eV per atom

***

Entry 2:
Computed, not measured: TlCdO3 after structural relaxation at the GGA-PBEsol level of DFT.

Cell lengths 4.112, 4.112, 4.112 Å; angles 90.00, 90.00, 90.00 degrees
Fractional positions:
Tl (0.500, 0.500, 0.500)
O (0.000, 0.500, 0.000)
O (0.000, 0.000, 0.500)
O (0.500, 0.000, 0.000)
Cd (0.000, 0.000, 0.000)

Properties
SG   No. 221
E_form (uncorrected)   -0.0305 eV per atom

***

Entry 3:
Computed, not measured: LaBe after structural relaxation at the GGA-PBEsol level of DFT.

Cell lengths 5.188, 5.188, 7.497 Å; angles 90.00, 90.00, 120.00 degrees
Fractional positions:
Be (0.667, 0.333, 0.883)
Be (0.333, 0.667, 0.383)
Be (0.333, 0.667, 0.117)
Be (0.667, 0.333, 0.617)
La (0.000, 0.000, 0.750)
La (0.000, 0.000, 0.250)
La (0.667, 0.333, 0.250)
La (0.333, 0.667, 0.750)

Properties
SG   No. 194
Formation enthalpy at 0 K   445 meV per atom
Energy above the lowest structure with this stoichiometry   0 meV/atom

***

Entry 4:
Computed, not measured: SrCuTe2 after structural relaxation at the GGA-PBEsol level of DFT.

Cell lengths 4.032, 4.032, 7.235 Å; angles 90.00, 90.00, 90.00 degrees
Fractional positions:
Cu (0.000, 0.000, 0.410)
Sr (0.500, 0.500, 0.941)
Te (0.000, 0.000, 0.762)
Te (0.500, 0.500, 0.387)

Properties
SG   No. 99
E_form (uncorrected)   -0.4987 eV per atom

***

Entry 5:
Computed, not measured: BaNiPt4 after structural relaxation at the GGA-PBEsol level of DFT.

Cell lengths 5.379, 5.379, 5.379 Å; angles 60.00, 60.00, 60.00 degrees
Last column: magnetic moment on the atom in μB.
Fractional positions:
Ba (0.750, 0.750, 0.750)  -0.01
Ni (0.000, 0.000, 0.000)  0.79
Pt (0.374, 0.374, 0.374)  0.02
Pt (0.374, 0.374, 0.877)  0.02
Pt (0.877, 0.374, 0.374)  0.02
Pt (0.374, 0.877, 0.374)  0.02

Properties
SG   No. 216
Formation enthalpy at 0 K   -30 meV per atom

***

Entry 6:
Computed, not measured: IrRuRh after structural relaxation at the GGA-PBEsol level of DFT.

Cell lengths 2.680, 2.680, 5.992 Å; angles 102.92, 102.92, 90.00 degrees
Fractional positions:
Ru (0.335, 0.335, 0.669)
Ir (0.996, 0.996, 0.993)
Rh (0.669, 0.669, 0.338)

Properties
SG   No. 107
Formation enthalpy at 0 K   -21 meV per atom
Energy above the lowest structure with this stoichiometry   5 meV/atom

***

Number 1: VASP energy -8.680 eV per atom. Number 2: VASP energy -3.946 eV per atom. Number 3: VASP energy -4.228 eV per atom. Number 4: VASP energy -3.805 eV per atom. Number 5: VASP energy -6.056 eV per atom. Number 6: VASP energy -9.399 eV per atom.